Sr4Cd2H | GGA-PBE | relaxed

a b c (Å): 5.1683 5.1683 9.7812
angles (deg): 105.32 105.32 90.00
Positions (direct):
H: 0.0000 0.0000 0.0000
Sr: 0.8190 0.8190 0.6380
Sr: 0.5000 0.0000 0.0000
Sr: 0.0000 0.5000 0.0000
Sr: 0.1810 0.1810 0.3620
Cd: 0.6297 0.6297 0.2594
Cd: 0.3703 0.3703 0.7406

Calculated values
calculated total energy	-13.60	eV per cell
SG	No. 139